## Pm6TeSe2S3 (GGA-PBE)

Data for Pm6TeSe2S3 after structural relaxation.

Geometry as POSCAR:
```
Pm6TeSe2S3
1.0
4.131 0.000 0.000
0.000 8.408 0.235
-2.066 -2.493 8.770
Se Pm S Te
2 6 3 1
direct
0.833 0.667 0.665
0.167 0.333 0.335
0.323 0.930 0.646
0.661 0.596 0.323
0.005 0.723 0.010
0.995 0.277 0.990
0.339 0.404 0.677
0.677 0.070 0.354
0.500 0.500 0.000
0.835 0.170 0.671
0.165 0.830 0.329
0.500 0.000 0.000
```

Crystal system: monoclinic
DOS at the Fermi energy: 4.0 states/eV/f.u.
Raw formation energy: -22.38 eV/f.u.
V: 307.1 Å³ per cell